# PBE-GGA TbTl2Os3O12, optimized geometry
# - uncorrected energy (eV/atom) = -6.973
# - density of states at the Fermi level (states/eV per cell) = 20.9
# - raw formation energy (eV per atom) = -1.276
data_TbTl2Os3O12
_cell_length_a 7.3239
_cell_length_b 7.3239
_cell_length_c 18.8716
_cell_angle_alpha 90.00
_cell_angle_beta 90.00
_cell_angle_gamma 120.00
_symmetry_space_group_name_H-M 'R -3 m'
_symmetry_Int_Tables_number 166
_symmetry_space_group_name_Hall '-R 3 2"'
loop_
_atom_site_label
_atom_site_type_symbol
_atom_site_fract_x
_atom_site_fract_y
_atom_site_fract_z
_atom_site_occupancy
Tb1 Tb 0.0000 0.0000 0.0000 1
Tl1 Tl 0.0000 0.0000 0.3422 1
Os1 Os 0.0000 0.5000 0.5000 1
O1 O 0.0343 0.5171 0.5997 1
O2 O 0.0840 0.5420 0.8416 1

=====

# PBE-GGA Al4Ge, optimized geometry
# - uncorrected energy (eV/atom) = -3.250
# - DFT formation energy (meV per atom) = 667
# - density of states at the Fermi level (states/eV per cell) = 2.9
data_Al4Ge
_cell_length_a 4.907
_cell_length_b 4.907
_cell_length_c 4.907
_cell_angle_alpha 90.00
_cell_angle_beta 90.00
_cell_angle_gamma 90.00
_symmetry_space_group_name_H-M 'P m -3 m'
_symmetry_Int_Tables_number 221
_symmetry_space_group_name_Hall '-P 4 2 3'
loop_
_atom_site_label
_atom_site_type_symbol
_atom_site_fract_x
_atom_site_fract_y
_atom_site_fract_z
_atom_site_occupancy
Al1 Al 0.000 0.000 0.000 1
Al2 Al 0.000 0.500 0.500 1
Ge1 Ge 0.500 0.500 0.500 1

=====

# PBE-GGA DyTm2Mg, optimized geometry
# - uncorrected energy (eV/atom) = -3.768
# - energy above the lowest structure with this stoichiometry (eV per atom) = 0.0432
# - DFT formation energy (meV per atom) = 17
# - density of states at the Fermi level (states/eV per cell) = 13.8
data_DyTm2Mg
_cell_length_a 3.4816
_cell_length_b 3.4816
_cell_length_c 33.2175
_cell_angle_alpha 90.00
_cell_angle_beta 90.00
_cell_angle_gamma 120.00
_symmetry_space_group_name_H-M 'R -3 m'
_symmetry_Int_Tables_number 166
_symmetry_space_group_name_Hall '-R 3 2"'
loop_
_atom_site_label
_atom_site_type_symbol
_atom_site_fract_x
_atom_site_fract_y
_atom_site_fract_z
_atom_site_occupancy
Dy1 Dy 0.0000 0.0000 0.0000 1
Tm1 Tm 0.0000 0.0000 0.2473 1
Mg1 Mg 0.0000 0.0000 0.5000 1

=====

# PBE-GGA ScMn2Tc2, optimized geometry
# - uncorrected energy (eV/atom) = -8.943
# - energy above the lowest structure with this stoichiometry (eV per atom) = 0.0524
# - DFT formation energy (meV per atom) = 138
# - density of states at the Fermi level (states/eV per cell) = 12.0
data_ScMn2Tc2
_cell_length_a 4.026
_cell_length_b 4.026
_cell_length_c 9.911
_cell_angle_alpha 90.00
_cell_angle_beta 90.00
_cell_angle_gamma 90.00
_symmetry_space_group_name_H-M 'I 4/m m m'
_symmetry_Int_Tables_number 139
_symmetry_space_group_name_Hall '-I 4 2'
loop_
_atom_site_label
_atom_site_type_symbol
_atom_site_fract_x
_atom_site_fract_y
_atom_site_fract_z
_atom_site_occupancy
Sc1 Sc 0.000 0.000 0.000 1
Mn1 Mn 0.000 0.500 0.250 1
Tc1 Tc 0.000 0.000 0.374 1

=====

# PBE-GGA ErAl2Au9, optimized geometry
# - uncorrected energy (eV/atom) = -3.795
# - DFT formation energy (meV per atom) = -333
# - density of states at the Fermi level (states/eV per cell) = 19.6
data_ErAl2Au9
_cell_length_a 11.549
_cell_length_b 11.549
_cell_length_c 6.814
_cell_angle_alpha 90.00
_cell_angle_beta 90.00
_cell_angle_gamma 90.00
_symmetry_space_group_name_H-M 'I 41/a m d'
_symmetry_Int_Tables_number 141
loop_
_symmetry_equiv_pos_as_xyz
'x,y,z'
'-x,-y,-z'
'-y+1/4,x+3/4,z+1/4'
'y+1/4,-x+3/4,-z+1/4'
'-x+1/2,-y,z+1/2'
'x+1/2,y,-z+1/2'
'y+1/4,-x+1/4,z+3/4'
'-y+1/4,x+1/4,-z+3/4'
'x,-y,-z'
'-x,y,z'
'-y+1/4,-x+1/4,-z+3/4'
'y+1/4,x+1/4,z+3/4'
'-x+1/2,y,-z+1/2'
'x+1/2,-y,z+1/2'
'y+1/4,x+3/4,-z+1/4'
'-y+1/4,-x+3/4,z+1/4'
'x+1/2,y+1/2,z+1/2'
'-x+1/2,-y+1/2,-z+1/2'
'-y+3/4,x+1/4,z+3/4'
'y+3/4,-x+1/4,-z+3/4'
'-x,-y+1/2,z'
'x,y+1/2,-z'
'y+3/4,-x+3/4,z+1/4'
'-y+3/4,x+3/4,-z+1/4'
'x+1/2,-y+1/2,-z+1/2'
'-x+1/2,y+1/2,z+1/2'
'-y+3/4,-x+3/4,-z+1/4'
'y+3/4,x+3/4,z+1/4'
'-x,y+1/2,-z'
'x,-y+1/2,z'
'y+3/4,x+1/4,-z+3/4'
'-y+3/4,-x+1/4,z+3/4'
loop_
_atom_site_label
_atom_site_type_symbol
_atom_site_fract_x
_atom_site_fract_y
_atom_site_fract_z
_atom_site_occupancy
Er1 Er 0.000 0.250 0.375 1
Al1 Al 0.000 0.000 0.000 1
Au1 Au 0.000 0.250 0.875 1
Au2 Au 0.123 0.072 0.659 1

=====

# PBE-GGA Ce2Zn5Pt4, optimized geometry
# - uncorrected energy (eV/atom) = -4.539
# - DFT formation energy (meV per atom) = -684
# - density of states at the Fermi level (states/eV per cell) = 53.8
data_Ce2Zn5Pt4
_cell_length_a 5.282
_cell_length_b 9.375
_cell_length_c 16.703
_cell_angle_alpha 90.00
_cell_angle_beta 90.00
_cell_angle_gamma 90.00
_symmetry_space_group_name_H-M 'F m m m'
_symmetry_Int_Tables_number 69
_symmetry_space_group_name_Hall '-F 2 2'
loop_
_atom_site_label
_atom_site_type_symbol
_atom_site_fract_x
_atom_site_fract_y
_atom_site_fract_z
_atom_site_occupancy
Ce1 Ce 0.000 0.000 0.145 1
Zn1 Zn 0.000 0.000 0.500 1
Zn2 Zn 0.250 0.250 0.000 1
Zn3 Zn 0.250 0.250 0.250 1
Pt1 Pt 0.000 0.156 0.372 1

=====

# PBE-GGA TaZn2Te, optimized geometry
# - uncorrected energy (eV/atom) = -4.062
# - density of states at the Fermi level (states/eV per cell) = 5.0
# - raw formation energy (eV per atom) = 0.323
data_TaZn2Te
_cell_length_a 5.528
_cell_length_b 8.679
_cell_length_c 3.123
_cell_angle_alpha 90.00
_cell_angle_beta 90.39
_cell_angle_gamma 90.00
_symmetry_space_group_name_H-M 'C 1 2/m 1'
_symmetry_Int_Tables_number 12
loop_
_symmetry_equiv_pos_as_xyz
'x,y,z'
'-x,-y,-z'
'-x,y,-z'
'x,-y,z'
'x+1/2,y+1/2,z'
'-x+1/2,-y+1/2,-z'
'-x+1/2,y+1/2,-z'
'x+1/2,-y+1/2,z'
loop_
_atom_site_label
_atom_site_type_symbol
_atom_site_fract_x
_atom_site_fract_y
_atom_site_fract_z
_atom_site_occupancy
Ta1 Ta 0.000 0.000 0.000 1
Zn1 Zn 0.250 0.250 0.500 1
Te1 Te 0.000 0.500 0.000 1

=====

# PBE-GGA Nd4MgTe3, optimized geometry
# - uncorrected energy (eV/atom) = -4.787
# - density of states at the Fermi level (states/eV per cell) = 11.0
# - raw formation energy (eV per atom) = -1.026
data_Nd4MgTe3
_cell_length_a 9.208
_cell_length_b 12.736
_cell_length_c 4.407
_cell_angle_alpha 90.00
_cell_angle_beta 90.00
_cell_angle_gamma 90.00
_symmetry_space_group_name_H-M 'C m m m'
_symmetry_Int_Tables_number 65
_symmetry_space_group_name_Hall '-C 2 2'
loop_
_atom_site_label
_atom_site_type_symbol
_atom_site_fract_x
_atom_site_fract_y
_atom_site_fract_z
_atom_site_occupancy
Nd1 Nd 0.000 0.249 0.000 1
Nd2 Nd 0.245 0.000 0.500 1
Mg1 Mg 0.000 0.500 0.000 1
Te1 Te 0.000 0.000 0.000 1
Te2 Te 0.250 0.250 0.500 1

=====

# PBE-GGA PrErTmIn, optimized geometry
# - uncorrected energy (eV/atom) = -4.277
# - energy above the lowest structure with this stoichiometry (eV per atom) = 0.0000
# - DFT formation energy (meV per atom) = -139
# - density of states at the Fermi level (states/eV per cell) = 27.2
data_PrErTmIn
_cell_length_a 7.758
_cell_length_b 7.758
_cell_length_c 7.758
_cell_angle_alpha 90.00
_cell_angle_beta 90.00
_cell_angle_gamma 90.00
_symmetry_space_group_name_H-M 'F -4 3 m'
_symmetry_Int_Tables_number 216
_symmetry_space_group_name_Hall 'F -4 2 3'
loop_
_atom_site_label
_atom_site_type_symbol
_atom_site_fract_x
_atom_site_fract_y
_atom_site_fract_z
_atom_site_occupancy
Pr1 Pr 0.000 0.000 0.000 1
Er1 Er 0.000 0.000 0.500 1
Tm1 Tm 0.250 0.250 0.750 1
In1 In 0.250 0.250 0.250 1

=====

# PBE-GGA YPd2Pb, optimized geometry
# - uncorrected energy (eV/atom) = -5.754
# - DFT formation energy (meV per atom) = -615
# - density of states at the Fermi level (states/eV per cell) = 1.9
data_YPd2Pb
_cell_length_a 3.598
_cell_length_b 3.598
_cell_length_c 6.610
_cell_angle_alpha 90.00
_cell_angle_beta 90.00
_cell_angle_gamma 90.00
_symmetry_space_group_name_H-M 'P 4/m m m'
_symmetry_Int_Tables_number 123
_symmetry_space_group_name_Hall '-P 4 2'
loop_
_atom_site_label
_atom_site_type_symbol
_atom_site_fract_x
_atom_site_fract_y
_atom_site_fract_z
_atom_site_occupancy
Y1 Y 0.000 0.000 0.000 1
Pd1 Pd 0.500 0.500 0.234 1
Pb1 Pb 0.000 0.000 0.500 1

=====

# PBE-GGA TmTaRh2, optimized geometry
# - uncorrected energy (eV/atom) = -8.395
# - energy above the lowest structure with this stoichiometry (eV per atom) = 0.0000
# - DFT formation energy (meV per atom) = -638
# - density of states at the Fermi level (states/eV per cell) = 3.2
data_TmTaRh2
_cell_length_a 3.173
_cell_length_b 3.173
_cell_length_c 7.131
_cell_angle_alpha 90.00
_cell_angle_beta 90.00
_cell_angle_gamma 90.00
_symmetry_space_group_name_H-M 'P 4/m m m'
_symmetry_Int_Tables_number 123
_symmetry_space_group_name_Hall '-P 4 2'
loop_
_atom_site_label
_atom_site_type_symbol
_atom_site_fract_x
_atom_site_fract_y
_atom_site_fract_z
_atom_site_occupancy
Tm1 Tm 0.000 0.000 0.000 1
Ta1 Ta 0.000 0.000 0.500 1
Rh1 Rh 0.500 0.500 0.285 1

=====

# PBE-GGA FeRh2Se, optimized geometry
# - uncorrected energy (eV/atom) = -6.484
# - density of states at the Fermi level (states/eV per cell) = 14.5
# - raw formation energy (eV per atom) = 0.179
data_FeRh2Se
_cell_length_a 2.8723
_cell_length_b 2.8723
_cell_length_c 24.3829
_cell_angle_alpha 90.00
_cell_angle_beta 90.00
_cell_angle_gamma 120.00
_symmetry_space_group_name_H-M 'R 3 m'
_symmetry_Int_Tables_number 160
_symmetry_space_group_name_Hall 'R 3 -2"'
loop_
_atom_site_label
_atom_site_type_symbol
_atom_site_fract_x
_atom_site_fract_y
_atom_site_fract_z
_atom_site_occupancy
Fe1 Fe 0.0000 0.0000 0.0000 1
Rh1 Rh 0.0000 0.0000 0.5065 1
Rh2 Rh 0.0000 0.0000 0.7480 1
Se1 Se 0.0000 0.0000 0.2549 1